#w
This record from Alexandria via LeMat-Bulk describes a geometry-optimized TcWBr2 structure. The functional is PBE.

Geometry as CIF:
```
data_TcWBr2
_cell_length_a 4.335
_cell_length_b 4.335
_cell_length_c 7.640
_cell_angle_alpha 90.00
_cell_angle_beta 90.00
_cell_angle_gamma 90.00
_symmetry_space_group_name_H-M 'I -4 m 2'
_symmetry_Int_Tables_number 119
_symmetry_space_group_name_Hall 'I -4 -2'
loop_
_atom_site_label
_atom_site_type_symbol
_atom_site_fract_x
_atom_site_fract_y
_atom_site_fract_z
Tc1 Tc 0.000 0.000 0.000
W1 W 0.000 0.500 0.750
Br1 Br 0.000 0.000 0.500
Br2 Br 0.000 0.500 0.250
```

---

#x
This record from Alexandria via LeMat-Bulk describes a geometry-optimized TcWBr2 structure. The functional is PBE.

Geometry as CIF:
```
data_TcWBr2
_cell_length_a 2.942
_cell_length_b 4.531
_cell_length_c 5.617
_cell_angle_alpha 90.00
_cell_angle_beta 90.00
_cell_angle_gamma 90.00
_symmetry_space_group_name_H-M 'P m m m'
_symmetry_Int_Tables_number 47
_symmetry_space_group_name_Hall '-P 2 2'
loop_
_atom_site_label
_atom_site_type_symbol
_atom_site_fract_x
_atom_site_fract_y
_atom_site_fract_z
Tc1 Tc 0.000 0.000 0.000
W1 W 0.500 0.000 0.500
Br1 Br 0.000 0.500 0.500
Br2 Br 0.500 0.500 0.000
```

---

Referenced to the most stable arrangement, the calculated values in meV per atom are #w 120; #x 0.

---

#w
This record from Alexandria via LeMat-Bulk describes a geometry-optimized Tc2WBr structure. The functional is PBE.

Geometry as CIF:
```
data_Tc2WBr
_cell_length_a 2.962
_cell_length_b 4.573
_cell_length_c 9.107
_cell_angle_alpha 90.00
_cell_angle_beta 90.00
_cell_angle_gamma 90.00
_symmetry_space_group_name_H-M 'I m m m'
_symmetry_Int_Tables_number 71
_symmetry_space_group_name_Hall '-I 2 2'
loop_
_atom_site_label
_atom_site_type_symbol
_atom_site_fract_x
_atom_site_fract_y
_atom_site_fract_z
Tc1 Tc 0.000 0.000 0.233
W1 W 0.000 0.500 0.000
Br1 Br 0.000 0.500 0.500
```

---

#x
This record from Alexandria via LeMat-Bulk describes a geometry-optimized Tc2WBr structure. The functional is PBE.

Geometry as CIF:
```
data_Tc2WBr
_cell_length_a 3.103
_cell_length_b 3.103
_cell_length_c 6.882
_cell_angle_alpha 90.00
_cell_angle_beta 90.00
_cell_angle_gamma 90.00
_symmetry_space_group_name_H-M 'P 4/m m m'
_symmetry_Int_Tables_number 123
_symmetry_space_group_name_Hall '-P 4 2'
loop_
_atom_site_label
_atom_site_type_symbol
_atom_site_fract_x
_atom_site_fract_y
_atom_site_fract_z
Tc1 Tc 0.000 0.000 0.221
W1 W 0.500 0.500 0.000
Br1 Br 0.500 0.500 0.500
```

---

Referenced to the most stable arrangement, the calculated values in meV per atom are #w 337; #x 0.

---

#w
This record from Alexandria via LeMat-Bulk describes a geometry-optimized TcWBr structure. The functional is PBE.

Geometry as CIF:
```
data_TcWBr
_cell_length_a 3.154
_cell_length_b 5.332
_cell_length_c 13.449
_cell_angle_alpha 90.00
_cell_angle_beta 90.00
_cell_angle_gamma 90.00
_symmetry_space_group_name_H-M 'F m m 2'
_symmetry_Int_Tables_number 42
_symmetry_space_group_name_Hall 'F 2 -2'
loop_
_atom_site_label
_atom_site_type_symbol
_atom_site_fract_x
_atom_site_fract_y
_atom_site_fract_z
Tc1 Tc 0.000 0.000 0.000
W1 W 0.000 0.000 0.635
Br1 Br 0.000 0.000 0.309
```

---

#x
This record from Alexandria via LeMat-Bulk describes a geometry-optimized TcWBr structure. The functional is PBE.

Geometry as CIF:
```
data_TcWBr
_cell_length_a 3.062
_cell_length_b 3.062
_cell_length_c 11.120
_cell_angle_alpha 90.00
_cell_angle_beta 90.00
_cell_angle_gamma 90.00
_symmetry_space_group_name_H-M 'I 4 m m'
_symmetry_Int_Tables_number 107
_symmetry_space_group_name_Hall 'I 4 -2'
loop_
_atom_site_label
_atom_site_type_symbol
_atom_site_fract_x
_atom_site_fract_y
_atom_site_fract_z
Tc1 Tc 0.000 0.000 0.000
W1 W 0.000 0.000 0.631
Br1 Br 0.000 0.000 0.310
```

---

Referenced to the most stable arrangement, the calculated values in meV per atom are #w 112; #x 0.